# 1
Entry from Alexandria: YSbPdSe2 after structural relaxation (PBE).

Output
Space group = P4/mmm, No. 123
Crystal system = tetragonal
Electronic total energy = -4.333 eV/atom
Formation energy from raw total energies = 0.216 eV/atom

Cell and atoms, written as extended XYZ:
```
5
Lattice="-0.4798 -4.4081 -2.9793 5.2078 1.1668 -2.5650 2.4966 -2.8281 3.7823" Properties=species:S:1:pos:R:3 pbc="T T T"
Sb 2.6039 0.5834 -1.2825
Y 0.0000 0.0000 0.0000
Pd 3.6123 -3.0347 -0.8810
Se -0.2399 -2.2040 -1.4896
Se 1.2483 -1.4141 1.8912
```



# 2
Entry from Alexandria: ZrSbPdSe2 after structural relaxation (PBE).

Output
Space group = P4/mmm, No. 123
Crystal system = tetragonal
Electronic total energy = -4.828 eV/atom
Formation energy from raw total energies = 0.139 eV/atom

Cell and atoms, written as extended XYZ:
```
5
Lattice="-1.5602 -4.4253 2.0059 2.6868 1.2618 4.8736 -4.2230 2.2769 1.7386" Properties=species:S:1:pos:R:3 pbc="T T T"
Zr 0.0000 0.0000 0.0000
Pd -1.5482 -0.4432 4.3090
Se -2.1115 1.1385 0.8693
Sb 1.3434 0.6309 2.4368
Se -0.7801 -2.2126 1.0029
```



# 3
Entry from Alexandria: SiSbPd2 after structural relaxation (PBE).

Output
Space group = R-3m, No. 166
Crystal system = trigonal
Excess energy over the best structure of this formula in the dataset = 0 meV/atom
Electronic total energy = -5.305 eV/atom
Formation energy from raw total energies = -0.322 eV/atom

Cell and atoms, written as extended XYZ:
```
4
Lattice="4.0124 0.0000 0.0000 2.0062 3.4748 0.0000 2.0062 1.1583 5.3233" Properties=species:S:1:pos:R:3 pbc="T T T"
Pd 2.0062 1.1583 0.8501
Sb 4.0124 2.3165 2.6616
Si 0.0000 0.0000 0.0000
Pd 6.0185 3.4748 4.4732
```



# 4
Entry from Alexandria: SiSb2Pd8 after structural relaxation (PBE).

Output
Space group = C2/m, No. 12
Crystal system = monoclinic
Electronic total energy = -5.489 eV/atom
Formation energy from raw total energies = -0.470 eV/atom

Cell and atoms, written as extended XYZ:
```
11
Lattice="4.4077 0.0000 0.0000 0.0000 5.9073 -0.0051 -2.2039 -2.5338 6.9713" Properties=species:S:1:pos:R:3 pbc="T T T"
Pd 2.2039 1.9455 1.4024
Pd 2.2039 2.8378 4.2534
Pd 0.0000 4.5380 0.2179
Pd 2.2039 4.7775 2.0979
Si 2.2039 0.0000 0.0000
Pd 0.0000 0.5357 2.7128
Pd 0.0000 -1.4040 4.8683
Sb 2.2039 0.2171 4.4878
Sb 0.0000 3.1564 2.4784
Pd 0.0000 1.4280 5.5638
Pd 2.2039 -1.1645 6.7483
```



# 5
Entry from Alexandria: SiSbPd6 after structural relaxation (PBE).

Output
Space group = P-1, No. 2
Crystal system = triclinic
Electronic total energy = -5.408 eV/atom
Formation energy from raw total energies = -0.320 eV/atom

Cell and atoms, written as extended XYZ:
```
8
Lattice="6.2096 -0.0006 0.0144 3.0910 5.3796 0.0230 3.0874 1.7909 4.0410" Properties=species:S:1:pos:R:3 pbc="T T T"
Pd 4.7668 1.6624 0.9324
Si 0.0000 0.0000 0.0000
Sb 6.1940 3.5850 2.0392
Pd 10.2308 6.7581 3.1516
Pd 2.3693 3.2983 0.9357
Pd 2.1572 0.4118 0.9268
Pd 10.0187 3.8716 3.1427
Pd 7.6212 5.5076 3.1460
```



# 6
Entry from Alexandria: Si2SbPd2 after structural relaxation (PBE).

Output
Space group = P4/mbm, No. 127
Crystal system = tetragonal
Excess energy over the best structure of this formula in the dataset = 135 meV/atom
Electronic total energy = -5.186 eV/atom
Formation energy from raw total energies = -0.115 eV/atom

Cell and atoms, written as extended XYZ:
```
10
Lattice="-2.3146 6.4271 -3.2531 -5.7913 -3.6923 -3.1743 -1.6926 0.6002 2.3900" Properties=species:S:1:pos:R:3 pbc="T T T"
Si -2.5219 2.0052 -0.4198
Sb -4.0529 1.3674 -3.2137
Si -4.8482 4.4734 -2.6872
Pd -5.8553 -0.8476 -3.9340
Si -7.2766 1.3298 -3.6176
Pd -2.4267 -0.4813 -1.5978
Pd -5.6791 3.2161 -4.8296
Sb 0.0000 0.0000 0.0000
Si -4.9503 -1.1384 -1.3502
Pd -2.2505 3.5824 -2.4935
```



# 7
Entry from Alexandria: SiSb2Pd2 after structural relaxation (PBE).

Output
Space group = P4/mbm, No. 127
Crystal system = tetragonal
Electronic total energy = -4.904 eV/atom
Formation energy from raw total energies = -0.093 eV/atom

Cell and atoms, written as extended XYZ:
```
10
Lattice="6.2038 0.0000 0.0000 0.0000 6.2038 0.0000 0.0000 0.0000 5.5512" Properties=species:S:1:pos:R:3 pbc="T T T"
Sb 5.0497 4.2560 2.7756
Pd 5.2232 4.0826 0.0000
Sb 1.9478 5.0497 2.7756
Sb 1.1541 1.9478 2.7756
Si 0.0000 0.0000 0.0000
Pd 0.9807 2.1212 0.0000
Pd 4.0826 0.9807 0.0000
Pd 2.1212 5.2232 0.0000
Sb 4.2560 1.1541 2.7756
Si 3.1019 3.1019 0.0000
```



# 8
Entry from Alexandria: Si2SbPd2 after structural relaxation (PBE).

Output
Space group = I4/mmm, No. 139
Crystal system = tetragonal
Excess energy over the best structure of this formula in the dataset = 36 meV/atom
Electronic total energy = -5.285 eV/atom
Formation energy from raw total energies = -0.214 eV/atom

Cell and atoms, written as extended XYZ:
```
5
Lattice="-0.8776 2.8049 -2.4258 -1.1744 -2.5747 -2.5522 -6.6413 0.3703 -0.1624" Properties=species:S:1:pos:R:3 pbc="T T T"
Pd -2.4002 0.1775 -1.9196
Pd -6.2931 0.4229 -3.2208
Si -4.4209 -1.0447 -2.6018
Si -4.2725 1.6451 -2.5386
Sb 0.0000 0.0000 0.0000
```



# 9
Entry from Alexandria: Si2SbPd2 after structural relaxation (PBE).

Output
Space group = I4/mmm, No. 139
Crystal system = tetragonal
Excess energy over the best structure of this formula in the dataset = 0 meV/atom
Electronic total energy = -5.321 eV/atom
Formation energy from raw total energies = -0.250 eV/atom

Cell and atoms, written as extended XYZ:
```
5
Lattice="4.2322 0.0000 0.0000 0.0000 4.2322 0.0000 2.1161 2.1161 4.9113" Properties=species:S:1:pos:R:3 pbc="T T T"
Sb 0.0000 0.0000 0.0000
Si 2.1161 2.1161 1.1620
Pd 2.1161 4.2322 2.4556
Si 4.2322 4.2322 3.7493
Pd 4.2322 2.1161 2.4556
```



# 10
Entry from Alexandria: SiSbPd2 after structural relaxation (PBE).

Output
Space group = Fm-3m, No. 225
Crystal system = cubic
Excess energy over the best structure of this formula in the dataset = 162 meV/atom
Electronic total energy = -5.143 eV/atom
Formation energy from raw total energies = -0.160 eV/atom

Cell and atoms, written as extended XYZ:
```
4
Lattice="-4.2990 -0.8356 -1.4353 -3.5640 0.7997 2.8103 -2.8666 3.5061 -0.8542" Properties=species:S:1:pos:R:3 pbc="T T T"
Si 0.0000 0.0000 0.0000
Sb -5.3648 1.7351 0.2604
Pd -2.6824 0.8675 0.1302
Pd -8.0472 2.6026 0.3907
```



# 11
Entry from Alexandria: SiSbPd2 after structural relaxation (PBE).

Output
Space group = I-42d, No. 122
Crystal system = tetragonal
Excess energy over the best structure of this formula in the dataset = 165 meV/atom
Electronic total energy = -5.140 eV/atom
Formation energy from raw total energies = -0.158 eV/atom

Cell and atoms, written as extended XYZ:
```
8
Lattice="-3.5276 3.7706 5.1171 -3.9470 -5.8867 1.6167 -1.7767 -1.8427 5.2967" Properties=species:S:1:pos:R:3 pbc="T T T"
Pd -2.9094 0.9112 4.3867
Si -4.7305 -4.3937 5.1401
Pd -7.6122 -2.8451 9.7579
Sb 0.0000 0.0000 0.0000
Si -3.7373 -1.0581 3.3669
Pd -4.3960 -2.5641 6.6044
Pd -3.5849 -3.4197 3.3120
Sb -4.5208 0.4349 6.8904
```



# 12
Entry from Alexandria: SiSb2Pd4 after structural relaxation (PBE).

Output
Space group = I4/mmm, No. 139
Crystal system = tetragonal
Electronic total energy = -5.046 eV/atom
Formation energy from raw total energies = -0.126 eV/atom

Cell and atoms, written as extended XYZ:
```
7
Lattice="-0.1741 -2.5165 -3.8437 -3.4213 -2.4962 1.7892 -6.3434 1.8345 -3.6633" Properties=species:S:1:pos:R:3 pbc="T T T"
Si 0.0000 0.0000 0.0000
Sb -6.9065 -1.8508 -3.9746
Pd -5.1144 -3.5621 -2.9354
Sb -3.0323 -1.3274 -1.7432
Pd -1.7106 -1.2481 0.8946
Pd -4.8244 0.3840 -2.7824
Pd -0.0871 -1.2583 -1.9219
```